No. 1
K2AsRhAu: optimized geometry, PBE.

Properties
Calculated formation energy ... -1.9 eV per formula unit
Final energy ... -3.8770 eV per atom

The structure in POSCAR format:
```
K2AsRhAu
1.0
-3.530 -1.209 2.052
2.082 0.216 3.708
-4.672 16.467 1.666
Au K As Rh
2 4 2 2
Direct
0.500 0.000 0.138 Au
0.000 0.500 0.862 Au
0.500 0.000 0.330 K
0.500 0.000 0.919 K
0.000 0.500 0.670 K
0.000 0.500 0.081 K
0.500 0.000 0.575 As
0.000 0.500 0.425 As
0.500 0.500 0.500 Rh
0.000 0.000 0.500 Rh
```



No. 2
KLaDyNbO6: optimized geometry, PBE.

Properties
Final energy ... -7.8767 eV per atom
Formation energy from raw total energies ... -273.25 kJ/mol of atoms

The structure in POSCAR format:
```
KLaDyNbO6
1.0
0.000 4.208 4.208
4.208 0.000 4.208
4.208 4.208 0.000
O La Dy Nb K
6 1 1 1 1
Direct
0.262 0.262 0.738 O
0.262 0.738 0.738 O
0.738 0.738 0.262 O
0.262 0.738 0.262 O
0.738 0.262 0.262 O
0.738 0.262 0.738 O
0.250 0.250 0.250 La
0.000 0.000 0.000 Dy
0.500 0.500 0.500 Nb
0.750 0.750 0.750 K
```



Question: final energy of number 1 (K2AsRhAu)?
Answer: -3.8770 eV per atom